Record 1
Density functional theory data (GGA-PBE) for a relaxed Tm crystal.

a = 3.443 Å, b = 5.484 Å, c = 5.484 Å
α = 120.00°, β = 90.00°, γ = 90.00°
Element x y z (fractional)
1 Tm 0.500 0.667 0.333
2 Tm 0.500 0.333 0.667
3 Tm 0.000 0.000 0.000

Raw total energy, eV/cell: -13.18
Energy of formation, eV/atom: 0.08
ΔE to the lowest computed polymorph, eV per atom: 0.0792
Crystal system: hexagonal

***

Record 2
Density functional theory data (GGA-PBE) for a relaxed Ti5Mn4Re crystal.

a = 3.019 Å, b = 3.019 Å, c = 15.114 Å
α = 90.00°, β = 90.00°, γ = 90.00°
Each line ends with the local moment (μB).
Element x y z (fractional)
1 Ti 0.500 0.500 0.107  -0.16
2 Ti 0.500 0.500 0.303  -0.33
3 Ti 0.500 0.500 0.500  -0.37
4 Ti 0.500 0.500 0.697  -0.33
5 Ti 0.500 0.500 0.893  -0.16
6 Mn 0.000 0.000 0.206  0.92
7 Mn 0.000 0.000 0.402  1.15
8 Mn 0.000 0.000 0.598  1.15
9 Mn 0.000 0.000 0.794  0.92
10 Re 0.000 0.000 0.000  0.02

Raw total energy, eV/cell: -91.17
Energy of formation, eV/atom: -0.26
Crystal system: tetragonal

***

Record 3
Density functional theory data (GGA-PBE) for a relaxed NaGaTe2 crystal.

a = 7.354 Å, b = 4.229 Å, c = 4.232 Å
α = 104.40°, β = 100.73°, γ = 79.14°
Element x y z (fractional)
1 Na 0.476 0.062 0.699
2 Te 0.746 0.410 0.412
3 Te 0.206 0.772 0.049
4 Ga 0.976 0.321 0.960

Raw total energy, eV/cell: -12.78
Crystal system: triclinic
Energy relative to the elements, uncorrected, meV per atom: -539